A plane-wave DFT calculation with PBE was carried out for LiZrH2 after structural relaxation. Values from VASP.

Structure (Quantum ESPRESSO input):
```
&SYSTEM
  ibrav = 0, nat = 4, ntyp = 3
/
ATOMIC_SPECIES
H 1.01 H.upf
Zr 91.22 Zr.upf
Li 6.94 Li.upf
CELL_PARAMETERS angstrom
-2.8564 -1.1228 -0.6123
-0.4705 -1.7876 -2.5254
-0.0370 -5.2345 1.7729
ATOMIC_POSITIONS crystal
H 0.7410 0.7410 0.7771
H 0.2590 0.2590 0.2229
Zr 0.0000 0.0000 0.0000
Li 0.5000 0.5000 0.5000
```

Output
M_tot: 0.325 μB per cell
crystal system: trigonal
ΔE to the lowest computed polymorph: 0.016 eV/atom
VASP energy: -18.29 eV per cell